10
Lattice="7.974 0.000 0.000 0.000 7.974 0.000 0.000 0.000 3.432" Properties=species:S:1:pos:R:3 comment="NdZr2Ga2 | the Open Quantum Materials Database | PBE | optimized geometry" final_energy_ev_per_cell=-60.06 crystal_system=tetragonal pbc="T T T"
Nd 0.000 0.000 0.000
Nd 3.987 3.987 0.000
Zr 1.412 2.575 1.716
Zr 2.575 6.563 1.716
Zr 5.399 1.412 1.716
Zr 6.563 5.399 1.716
Ga 0.938 4.925 0.000
Ga 3.049 0.938 0.000
Ga 4.925 7.037 0.000
Ga 7.037 3.049 0.000